Pa2ZnHg | PBE | optimized geometry

Unit cell a=5.136 b=5.136 c=5.136 alpha=60.00 beta=60.00 gamma=60.00
Last column: magnetic moment on the atom in μB.
Positions (direct):
1 Zn 0.500 0.500 0.500  0.01
2 Pa 0.250 0.250 0.250  0.65
3 Pa 0.750 0.750 0.750  0.65
4 Hg 0.000 0.000 0.000  0.01

Energy relative to the lowest polymorph listed for this composition in eV/atom: 0.2426
E_form in eV/atom: 0.28